Material: YAlSn2Pt
Method: DFT, GGA-PBE
State: optimized geometry

Calculated values
- symmetry = P4/mmm (123)

Cell lengths 5.002, 5.002, 5.443 Å; angles 90.00, 90.00, 90.00 degrees
Atoms (fractional coordinates):
Y 0.000 0.000 0.000
Al 0.000 0.000 0.500
Sn 0.000 0.500 0.500
Sn 0.500 0.000 0.500
Pt 0.500 0.500 0.000



Material: SrAl2Pt2
Method: DFT, GGA-PBE
State: optimized geometry

Calculated values
- symmetry = I4/mmm (139)

Cell lengths 6.393, 6.393, 6.393 Å; angles 141.38, 141.38, 55.77 degrees
Atoms (fractional coordinates):
Sr 0.000 0.000 0.000
Al 0.250 0.750 0.500
Al 0.750 0.250 0.500
Pt 0.374 0.374 0.000
Pt 0.626 0.626 0.000



Material: SrAl2Pt
Method: DFT, GGA-PBE
State: optimized geometry

Calculated values
- symmetry = Immm (71)

Cell lengths 6.042, 6.042, 6.042 Å; angles 150.06, 127.13, 61.96 degrees
Atoms (fractional coordinates):
Sr 0.000 0.000 0.000
Al 0.297 0.797 0.500
Al 0.703 0.203 0.500
Pt 0.500 0.500 0.000



Material: SrAl2Pt
Method: DFT, GGA-PBE
State: optimized geometry

Calculated values
- symmetry = P4mm (99)

Cell lengths 3.367, 3.367, 7.435 Å; angles 90.00, 90.00, 90.00 degrees
Atoms (fractional coordinates):
Sr 0.000 0.000 0.000
Al 0.000 0.000 0.545
Al 0.500 0.500 0.327
Pt 0.500 0.500 0.684



Material: SrAl2Pt2
Method: DFT, GGA-PBE
State: optimized geometry

Calculated values
- symmetry = I4/mmm (139)

Cell lengths 6.074, 6.074, 6.074 Å; angles 137.10, 137.10, 62.28 degrees
Atoms (fractional coordinates):
Sr 0.000 0.000 0.000
Al 0.364 0.364 0.000
Al 0.636 0.636 0.000
Pt 0.250 0.750 0.500
Pt 0.750 0.250 0.500



Material: Sr2AlPt
Method: DFT, GGA-PBE
State: optimized geometry

Calculated values
- symmetry = Cm (8)

Cell lengths 4.389, 4.389, 8.515 Å; angles 104.54, 104.54, 60.00 degrees
Atoms (fractional coordinates):
Sr 0.000 0.000 0.000
Sr 0.169 0.169 0.521
Al 0.418 0.418 0.260
Pt 0.751 0.751 0.261



Material: Sr2Al3Pt2
Method: DFT, GGA-PBE
State: optimized geometry

Calculated values
- symmetry = C2/m (12)

Cell lengths 6.102, 6.102, 7.569 Å; angles 118.36, 118.36, 40.35 degrees
Atoms (fractional coordinates):
Sr 0.137 0.137 0.266
Sr 0.863 0.863 0.734
Al 0.343 0.343 0.067
Al 0.500 0.500 0.500
Al 0.657 0.657 0.933
Pt 0.128 0.128 0.710
Pt 0.872 0.872 0.290



Material: Sr2Al3Pt4
Method: DFT, GGA-PBE
State: optimized geometry

Calculated values
- symmetry = Cmce (64)

Cell lengths 8.414, 8.414, 7.592 Å; angles 90.00, 90.00, 139.54 degrees
Atoms (fractional coordinates):
Sr 0.106 0.894 0.907
Sr 0.394 0.606 0.407
Sr 0.606 0.394 0.593
Sr 0.894 0.106 0.093
Al 0.000 0.000 0.500
Al 0.023 0.477 0.750
Al 0.477 0.023 0.250
Al 0.500 0.500 0.000
Al 0.523 0.977 0.750
Al 0.977 0.523 0.250
Pt 0.186 0.314 0.750
Pt 0.187 0.813 0.523
Pt 0.313 0.687 0.023
Pt 0.314 0.186 0.250
Pt 0.686 0.814 0.750
Pt 0.687 0.313 0.977
Pt 0.813 0.187 0.477
Pt 0.814 0.686 0.250



| no. | energy of formation (eV/atom) |
| --- | --- |
| 1 | 0.457 |
| 2 | -1.010 |
| 3 | -0.378 |
| 4 | -0.480 |
| 5 | -0.890 |
| 6 | -0.668 |
| 7 | -0.829 |
| 8 | -0.941 |